# 1
Crystalline LiAlBi3 at its relaxed geometry, computed with GGA-PBE.

It has space group Pm-3m (No. 221), with a = 5.2184 Å, b = 5.2184 Å, c = 5.2184 Å, α = 90.00°, β = 90.00° and γ = 90.00°. The distinct sites, in fractional coordinates, are Li at (0.0000, 0.0000, 0.0000), Al at (0.5000, 0.5000, 0.5000) and Bi at (0.0000, 0.0000, 0.5000).

The uncorrected energy comes out at -3.079 eV per atom.

# 2
Crystalline LiAl2Bi2 at its relaxed geometry, computed with GGA-PBE.

It has space group I4/mmm (No. 139), with a = 5.3929 Å, b = 5.3929 Å, c = 9.6064 Å, α = 90.00°, β = 90.00° and γ = 90.00°. The distinct sites, in fractional coordinates, are Li at (0.0000, 0.0000, 0.0000), Al at (0.0000, 0.0000, 0.3679) and Bi at (0.0000, 0.5000, 0.2500).

The uncorrected energy comes out at -3.328 eV per atom.

# 3
Crystalline Li2AlBi at its relaxed geometry, computed with GGA-PBE.

It has space group P4/mmm (No. 123), with a = 3.3822 Å, b = 3.3822 Å, c = 7.0604 Å, α = 90.00°, β = 90.00° and γ = 90.00°. The distinct sites, in fractional coordinates, are Li at (0.0000, 0.0000, 0.2259), Al at (0.5000, 0.5000, 0.0000) and Bi at (0.5000, 0.5000, 0.5000).

The uncorrected energy comes out at -3.030 eV per atom.

# 4
Crystalline Li2AlBi2 at its relaxed geometry, computed with GGA-PBE.

It has space group P4/mbm (No. 127), with a = 8.4492 Å, b = 8.4492 Å, c = 3.2452 Å, α = 90.00°, β = 90.00° and γ = 90.00°. The distinct sites, in fractional coordinates, are Li at (0.1171, 0.3829, 0.0000), Al at (0.0000, 0.0000, 0.0000) and Bi at (0.1825, 0.6825, 0.5000).

The uncorrected energy comes out at -3.172 eV per atom.

# 5
Crystalline LiAl2Bi at its relaxed geometry, computed with GGA-PBE.

It has space group I-42d (No. 122), with a = 8.8436 Å, b = 8.8436 Å, c = 5.1904 Å, α = 90.00°, β = 90.00° and γ = 90.00°. The distinct sites, in fractional coordinates, are Li at (0.0000, 0.0000, 0.0000), Al at (0.1991, 0.7500, 0.6250) and Bi at (0.0000, 0.0000, 0.5000).

The uncorrected energy comes out at -3.189 eV per atom.

# 6
Crystalline Li7AlBi4 at its relaxed geometry, computed with GGA-PBE.

It has space group C2/m (No. 12), with a = 12.2304 Å, b = 5.1053 Å, c = 10.7195 Å, α = 90.00°, β = 124.67° and γ = 90.00°. The distinct sites, in fractional coordinates, are Li at (0.0000, 0.0000, 0.0000), Li at (0.0997, 0.5000, 0.4563), Li at (0.1943, 0.0000, 0.9096), Li at (0.2355, 0.0000, 0.6545), Al at (0.0000, 0.5000, 0.0000), Bi at (0.0894, 0.0000, 0.3059) and Bi at (0.1956, 0.5000, 0.7726).

The uncorrected energy comes out at -2.968 eV per atom.

# 7
Crystalline Li8AlBi2 at its relaxed geometry, computed with GGA-PBE.

It has space group C2/m (No. 12), with a = 14.1521 Å, b = 4.6673 Å, c = 7.8685 Å, α = 90.00°, β = 123.73° and γ = 90.00°. The distinct sites, in fractional coordinates, are Li at (0.9996, 0.0000, 0.2023), Li at (0.1437, 0.0000, 0.6422), Li at (0.1501, 0.5000, 0.3567), Li at (0.1508, 0.5000, 0.9443), Al at (0.0000, 0.5000, 0.5000) and Bi at (0.2053, 0.0000, 0.2057).

The uncorrected energy comes out at -2.782 eV per atom.

# 8
Crystalline LiAl3Bi at its relaxed geometry, computed with GGA-PBE.

It has space group Pm-3m (No. 221), with a = 4.7441 Å, b = 4.7441 Å, c = 4.7441 Å, α = 90.00°, β = 90.00° and γ = 90.00°. The distinct sites, in fractional coordinates, are Li at (0.0000, 0.0000, 0.0000), Al at (0.0000, 0.0000, 0.5000) and Bi at (0.5000, 0.5000, 0.5000).

The uncorrected energy comes out at -2.955 eV per atom.

# 9
Crystalline LiAlBi2 at its relaxed geometry, computed with GGA-PBE.

It has space group R3m (No. 160, hexagonal axes), with a = 4.5550 Å, b = 4.5550 Å, c = 18.0575 Å, α = 90.00°, β = 90.00° and γ = 120.00°. The distinct sites, in fractional coordinates, are Li at (0.0000, 0.0000, 0.0000), Al at (0.0000, 0.0000, 0.1656), Bi at (0.0000, 0.0000, 0.5750) and Bi at (0.0000, 0.0000, 0.7525).

The uncorrected energy comes out at -3.399 eV per atom.

# 10
Crystalline LiAlBi2 at its relaxed geometry, computed with GGA-PBE.

It has space group P4/mmm (No. 123), with a = 4.9181 Å, b = 4.9181 Å, c = 4.1267 Å, α = 90.00°, β = 90.00° and γ = 90.00°. The distinct sites, in fractional coordinates, are Li at (0.0000, 0.0000, 0.0000), Al at (0.5000, 0.5000, 0.0000) and Bi at (0.0000, 0.5000, 0.5000).

The uncorrected energy comes out at -3.400 eV per atom.

# 11
Crystalline LiAl2BiN at its relaxed geometry, computed with GGA-PBE.

It has space group P4/mmm (No. 123), with a = 4.1783 Å, b = 4.1783 Å, c = 4.4716 Å, α = 90.00°, β = 90.00° and γ = 90.00°. The distinct sites, in fractional coordinates, are Li at (0.0000, 0.0000, 0.0000), Al at (0.0000, 0.5000, 0.5000), Bi at (0.5000, 0.5000, 0.0000) and N at (0.0000, 0.0000, 0.5000).

The uncorrected energy comes out at -4.495 eV per atom. For the energy relative to the elements, uncorrected, the calculation gives -173.6 meV/atom.

# 12
Crystalline LiAlBi2N at its relaxed geometry, computed with GGA-PBE.

It has space group P4/mmm (No. 123), with a = 5.4221 Å, b = 5.4221 Å, c = 3.6685 Å, α = 90.00°, β = 90.00° and γ = 90.00°. The distinct sites, in fractional coordinates, are Li at (0.0000, 0.0000, 0.0000), Al at (0.5000, 0.5000, 0.0000), Bi at (0.0000, 0.5000, 0.5000) and N at (0.5000, 0.5000, 0.5000).

The uncorrected energy comes out at -4.314 eV per atom. For the energy relative to the elements, uncorrected, the calculation gives 34.3 meV/atom.

# 13
Crystalline Li2AlBiO4 at its relaxed geometry, computed with GGA-PBE.

It has space group Pmn2_1 (No. 31), with a = 7.2029 Å, b = 5.4656 Å, c = 5.0913 Å, α = 90.00°, β = 90.00° and γ = 90.00°. The distinct sites, in fractional coordinates, are Li at (0.2472, 0.1736, 0.0000), Al at (0.0000, 0.3106, 0.5042), Bi at (0.0000, 0.7040, 0.9896), O at (0.0000, 0.3164, 0.8609), O at (0.0000, 0.6336, 0.4258) and O at (0.2031, 0.1676, 0.3840).

The uncorrected energy comes out at -5.969 eV per atom. For the energy relative to the elements, uncorrected, the calculation gives -2058.8 meV/atom.